A relaxed K2TiMoO6 crystal. Source: Alexandria via LeMat-Bulk, functional GGA+U.

## Properties
**Raw total energy**: -0.2494 Ha/atom
**SG**: R-3m (166)

Cell lengths 10.018, 10.018, 10.018 Å; angles 33.64, 33.64, 33.64 degrees
Element x y z (fractional)
K 0.132 0.132 0.132
K 0.279 0.279 0.279
K 0.721 0.721 0.721
K 0.868 0.868 0.868
Ti 0.405 0.405 0.405
Ti 0.595 0.595 0.595
Mo 0.000 0.000 0.000
Mo 0.500 0.500 0.500
O 0.162 0.602 0.602
O 0.201 0.201 0.714
O 0.201 0.714 0.201
O 0.286 0.799 0.799
O 0.398 0.398 0.838
O 0.398 0.838 0.398
O 0.602 0.162 0.602
O 0.602 0.602 0.162
O 0.714 0.201 0.201
O 0.799 0.286 0.799
O 0.799 0.799 0.286
O 0.838 0.398 0.398